[1]
Computed, not measured: KCdSe after structural relaxation at the PBE level of DFT.

Results
**ΔE_f (raw)**: -1.7 eV per formula unit
**Symmetry**: No. 187
**Fermi-level density of states**: 0.466 states/eV/atom
**Distance to the lowest polymorph of the same formula**: 0.0 meV/atom
**Crystal system**: hexagonal
**Calculated density**: 3.80 g cm⁻³
**Raw total energy**: -2.3849 eV/atom

a = 4.918 Å, b = 4.918 Å, c = 4.805 Å
α = 90.00°, β = 90.00°, γ = 120.00°
Atoms (fractional coordinates):
K1 0.000 0.000 0.000
Cd1 0.333 0.667 0.500
Se1 0.667 0.333 0.500

---

[2]
Computed, not measured: K4CdSe after structural relaxation at the PBE level of DFT.

Results
**ΔE_f (raw)**: 0.0 eV per formula unit
**Symmetry**: No. 216
**Fermi-level density of states**: 0.186 states/eV/atom
**Crystal system**: cubic
**Calculated density**: 2.20 g cm⁻³
**Raw total energy**: -1.4592 eV/atom

a = 7.182 Å, b = 7.182 Å, c = 7.182 Å
α = 60.00°, β = 60.00°, γ = 60.00°
Atoms (fractional coordinates):
K1 0.123 0.123 0.123
K2 0.123 0.123 0.631
K3 0.123 0.631 0.123
K4 0.631 0.123 0.123
Cd1 0.500 0.500 0.500
Se1 0.750 0.750 0.750

---

[3]
Computed, not measured: KCdSe2 after structural relaxation at the PBE level of DFT.

Results
**ΔE_f (raw)**: -1.7 eV per formula unit
**Symmetry**: No. 47
**Fermi-level density of states**: 0.200 states/eV/atom
**Crystal system**: orthorhombic
**Calculated density**: 5.09 g cm⁻³
**Raw total energy**: -2.6829 eV/atom

a = 3.195 Å, b = 3.890 Å, c = 8.129 Å
α = 90.00°, β = 90.00°, γ = 90.00°
Atoms (fractional coordinates):
K1 0.000 0.000 0.000
Cd1 0.000 0.000 0.500
Se1 0.500 0.500 0.283
Se2 0.500 0.500 0.717

---

[4]
Computed, not measured: K2Cd2Se3 after structural relaxation at the PBE level of DFT.

Results
**ΔE_f (raw)**: -6.1 eV per formula unit
**Symmetry**: No. 12
**Distance to the lowest polymorph of the same formula**: 31.0 meV/atom
**Crystal system**: monoclinic
**Calculated density**: 3.89 g cm⁻³
**Raw total energy**: -2.9468 eV/atom

a = 7.886 Å, b = 7.886 Å, c = 7.974 Å
α = 119.47°, β = 119.47°, γ = 32.73°
Atoms (fractional coordinates):
K1 0.088 0.088 0.329
K2 0.912 0.912 0.671
Cd1 0.313 0.313 0.191
Cd2 0.687 0.687 0.809
Se1 0.300 0.300 0.834
Se2 0.500 0.500 0.500
Se3 0.700 0.700 0.166

---

[5]
Computed, not measured: KCdSe2 after structural relaxation at the PBE level of DFT.

Results
**ΔE_f (raw)**: -2.2 eV per formula unit
**Symmetry**: No. 10
**Fermi-level density of states**: 0.456 states/eV/atom
**Crystal system**: monoclinic
**Calculated density**: 4.78 g cm⁻³
**Raw total energy**: -2.7923 eV/atom

a = 3.372 Å, b = 3.991 Å, c = 8.115 Å
α = 90.00°, β = 100.20°, γ = 90.00°
Atoms (fractional coordinates):
K1 0.000 0.000 0.000
Cd1 0.500 0.000 0.500
Se1 0.377 0.500 0.722
Se2 0.623 0.500 0.278

---

[6]
Computed, not measured: KCdSe2 after structural relaxation at the PBE level of DFT.

Results
**ΔE_f (raw)**: -2.1 eV per formula unit
**Symmetry**: No. 44
**Fermi-level density of states**: 0.168 states/eV/atom
**Crystal system**: orthorhombic
**Calculated density**: 4.59 g cm⁻³
**Raw total energy**: -2.7702 eV/atom

a = 8.513 Å, b = 8.513 Å, c = 8.513 Å
α = 157.74°, β = 151.35°, γ = 36.58°
Atoms (fractional coordinates):
K1 0.000 0.000 0.000
Cd1 0.247 0.747 0.500
Se1 0.384 0.384 0.000
Se2 0.664 0.164 0.500

---

[7]
Computed, not measured: KCdSe after structural relaxation at the PBE level of DFT.

Results
**ΔE_f (raw)**: -0.5 eV per formula unit
**Symmetry**: No. 216
**Fermi-level density of states**: 0.653 states/eV/atom
**Distance to the lowest polymorph of the same formula**: 386.4 meV/atom
**Crystal system**: cubic
**Calculated density**: 3.73 g cm⁻³
**Raw total energy**: -1.9984 eV/atom

a = 5.253 Å, b = 5.253 Å, c = 5.253 Å
α = 60.00°, β = 60.00°, γ = 60.00°
Atoms (fractional coordinates):
K1 0.000 0.000 0.000
Cd1 0.750 0.750 0.750
Se1 0.250 0.250 0.250

---

[8]
Computed, not measured: KCdSe after structural relaxation at the PBE level of DFT.

Results
**ΔE_f (raw)**: -1.3 eV per formula unit
**Symmetry**: No. 107
**Fermi-level density of states**: 0.693 states/eV/atom
**Distance to the lowest polymorph of the same formula**: 112.5 meV/atom
**Crystal system**: tetragonal
**Calculated density**: 4.17 g cm⁻³
**Raw total energy**: -2.2724 eV/atom

a = 6.415 Å, b = 6.415 Å, c = 6.415 Å
α = 143.77°, β = 143.77°, γ = 52.17°
Atoms (fractional coordinates):
K1 0.000 0.000 0.000
Cd1 0.715 0.715 0.000
Se1 0.294 0.294 0.000

---

[9]
Computed, not measured: KCd2SiSe4 after structural relaxation at the PBE level of DFT.

Results
**ΔE_f (raw)**: -4.7 eV per formula unit
**Symmetry**: No. 42
**Fermi-level density of states**: 0.361 states/eV/atom
**Crystal system**: orthorhombic
**Calculated density**: 4.36 g cm⁻³
**Raw total energy**: -3.3756 eV/atom

a = 6.830 Å, b = 6.683 Å, c = 7.273 Å
α = 58.42°, β = 56.47°, γ = 65.11°
Atoms (fractional coordinates):
K1 0.000 0.000 0.000
Cd1 0.263 0.263 0.237
Cd2 0.763 0.763 0.737
Si1 0.496 0.496 0.504
Se1 0.158 0.539 0.842
Se2 0.449 0.822 0.178
Se3 0.539 0.158 0.461
Se4 0.822 0.449 0.551

---

[10]
Computed, not measured: K2CdSiSe4 after structural relaxation at the PBE level of DFT.

Results
**ΔE_f (raw)**: -4.7 eV per formula unit
**Symmetry**: No. 74
**Fermi-level density of states**: 0.087 states/eV/atom
**Crystal system**: orthorhombic
**Calculated density**: 4.27 g cm⁻³
**Raw total energy**: -3.3951 eV/atom

a = 8.397 Å, b = 8.397 Å, c = 8.397 Å
α = 123.65°, β = 116.51°, γ = 89.98°
Atoms (fractional coordinates):
K1 0.000 0.000 0.000
K2 0.500 0.000 0.000
K3 0.500 0.000 0.500
K4 0.500 0.500 0.500
Cd1 0.000 0.500 0.500
Cd2 0.500 0.500 0.000
Si1 0.000 0.000 0.500
Si2 0.000 0.500 0.000
Se1 0.191 0.744 0.447
Se2 0.203 0.256 0.947
Se3 0.210 0.228 0.518
Se4 0.210 0.693 0.982
Se5 0.790 0.307 0.018
Se6 0.790 0.772 0.482
Se7 0.797 0.744 0.053
Se8 0.809 0.256 0.553

---

[11]
Computed, not measured: KSmCdSe3 after structural relaxation at the PBE level of DFT.

Results
**ΔE_f (raw)**: -8.0 eV per formula unit
**Symmetry**: No. 11
**Fermi-level density of states**: 0.000 states/eV/atom
**Crystal system**: monoclinic
**Calculated density**: 4.65 g cm⁻³
**Raw total energy**: -4.1961 eV/atom

a = 9.026 Å, b = 4.322 Å, c = 10.281 Å
α = 90.00°, β = 106.51°, γ = 90.00°
Atoms (fractional coordinates):
K1 0.209 0.250 0.227
K2 0.791 0.750 0.773
Sm1 0.328 0.750 0.863
Sm2 0.672 0.250 0.137
Cd1 0.085 0.250 0.609
Cd2 0.915 0.750 0.391
Se1 0.103 0.250 0.868
Se2 0.227 0.750 0.540
Se3 0.458 0.750 0.153
Se4 0.542 0.250 0.847
Se5 0.773 0.250 0.460
Se6 0.897 0.750 0.132

---

[12]
Computed, not measured: K2SrCdSe after structural relaxation at the PBE level of DFT.

Results
**ΔE_f (raw)**: -0.3 eV per formula unit
**Symmetry**: No. 123
**Fermi-level density of states**: 0.871 states/eV/atom
**Crystal system**: tetragonal
**Calculated density**: 2.52 g cm⁻³
**Raw total energy**: -1.7087 eV/atom

a = 6.051 Å, b = 6.051 Å, c = 6.416 Å
α = 90.00°, β = 90.00°, γ = 90.00°
Atoms (fractional coordinates):
K1 0.000 0.500 0.000
K2 0.500 0.000 0.000
Sr1 0.000 0.000 0.500
Cd1 0.000 0.000 0.000
Se1 0.500 0.500 0.500

---

[13]
Computed, not measured: KTbCdSe3 after structural relaxation at the PBE level of DFT.

Results
**ΔE_f (raw)**: -8.0 eV per formula unit
**Symmetry**: No. 11
**Fermi-level density of states**: 0.000 states/eV/atom
**Crystal system**: monoclinic
**Calculated density**: 4.85 g cm⁻³
**Raw total energy**: -4.1842 eV/atom

a = 8.967 Å, b = 4.274 Å, c = 10.245 Å
α = 90.00°, β = 107.21°, γ = 90.00°
Atoms (fractional coordinates):
K1 0.211 0.250 0.229
K2 0.789 0.750 0.771
Tb1 0.329 0.750 0.864
Tb2 0.671 0.250 0.136
Cd1 0.085 0.250 0.610
Cd2 0.915 0.750 0.390
Se1 0.107 0.250 0.870
Se2 0.231 0.750 0.544
Se3 0.460 0.750 0.152
Se4 0.540 0.250 0.848
Se5 0.769 0.250 0.456
Se6 0.893 0.750 0.130

---

[14]
Computed, not measured: K2Cd2TeSe2 after structural relaxation at the PBE level of DFT.

Results
**ΔE_f (raw)**: -5.6 eV per formula unit
**Symmetry**: No. 12
**Fermi-level density of states**: 0.082 states/eV/atom
**Crystal system**: monoclinic
**Calculated density**: 4.03 g cm⁻³
**Raw total energy**: -2.8184 eV/atom

a = 7.625 Å, b = 7.625 Å, c = 8.953 Å
α = 120.64°, β = 120.64°, γ = 33.43°
Atoms (fractional coordinates):
K1 0.050 0.050 0.254
K2 0.950 0.950 0.746
Cd1 0.298 0.298 0.181
Cd2 0.702 0.702 0.819
Te1 0.500 0.500 0.500
Se1 0.331 0.331 0.900
Se2 0.669 0.669 0.100